(1)
6
Lattice="2.903 3.916 -1.183 -2.940 -2.088 -3.488 -4.199 3.542 1.420" Properties=species:S:1:pos:R:3 comment="PBE AgSe2, optimized geometry" space_group=P6_3/mmc n_ef_per_ev_cell=4.596 final_energy_ev_per_atom=-2.846 pbc="T T T"
Ag -2.042 0.799 -2.365
Ag -2.194 4.571 -0.887
Se 0.000 0.000 0.000
Se -2.100 1.771 0.710
Se -4.142 2.570 -1.655
Se -0.094 2.800 -1.597

(2)
3
Lattice="5.084 0.000 0.000 -2.542 4.403 0.000 0.000 0.000 2.815" Properties=species:S:1:pos:R:3 comment="PBE AgSe2, optimized geometry" space_group=P6/mmm n_ef_per_ev_cell=1.794 final_energy_ev_per_atom=-2.937 pbc="T T T"
Ag 0.000 0.000 0.000
Se 0.000 2.936 1.408
Se 2.542 1.468 1.407

(3)
12
Lattice="3.659 0.000 0.000 0.000 7.940 0.000 0.000 0.000 10.329" Properties=species:S:1:pos:R:3 comment="PBE AgSe2, optimized geometry" space_group=Pnma n_ef_per_ev_cell=8.969 final_energy_ev_per_atom=-3.211 pbc="T T T"
Ag 0.915 7.940 2.588
Ag 2.744 3.970 7.752
Ag 0.915 3.970 2.577
Ag 2.744 0.000 7.742
Se 0.915 5.957 8.749
Se 2.744 5.953 3.584
Se 0.915 1.987 6.745
Se 2.744 1.983 1.581
Se 0.915 1.988 4.406
Se 2.744 1.982 9.570
Se 0.915 5.958 0.759
Se 2.744 5.952 5.924

(4)
8
Lattice="4.782 0.000 0.000 0.000 6.061 0.000 0.000 -3.030 5.252" Properties=species:S:1:pos:R:3 comment="PBE Ag3Se, optimized geometry" space_group=P6_3/mmc n_ef_per_ev_cell=1.576 final_energy_ev_per_atom=-2.977 pbc="T T T"
Se 1.196 3.030 1.752
Se 3.587 0.000 3.500
Ag 3.587 4.585 0.852
Ag 3.587 1.476 0.852
Ag 3.587 3.030 3.549
Ag 1.196 -1.554 4.400
Ag 1.196 1.554 4.400
Ag 1.196 0.000 1.703

(5)
9
Lattice="5.670 5.812 -1.198 -6.844 -0.052 -4.530 -1.577 2.024 2.359" Properties=species:S:1:pos:R:3 comment="PBE AgSe2, optimized geometry" space_group=P-62m n_ef_per_ev_cell=8.632 final_energy_ev_per_atom=-2.977 pbc="T T T"
Ag -2.673 1.903 -3.419
Ag 1.499 3.857 -2.309
Ag -0.788 1.012 1.179
Se 1.478 1.515 -0.312
Se -1.784 -0.014 -1.181
Se -0.868 4.259 -4.235
Se 2.090 3.963 0.571
Se -4.263 0.986 -1.121
Se -1.366 3.848 -1.641

(6)
9
Lattice="6.672 0.024 0.000 -5.430 3.877 0.000 -0.621 -1.950 6.350" Properties=species:S:1:pos:R:3 comment="PBE Ag8Se, optimized geometry" space_group=I4/mmm n_ef_per_ev_cell=2.686 final_energy_ev_per_atom=-2.894 pbc="T T T"
Ag -1.432 2.604 0.000
Ag 2.673 1.297 0.000
Ag -2.032 0.647 2.132
Ag 0.621 1.950 2.154
Ag 2.032 -0.647 2.132
Ag 0.000 0.000 4.196
Ag -4.020 1.279 4.218
Ag 4.020 -1.279 4.218
Se 0.000 0.000 0.000

The calculation returns the following V values, one per record and in order: 20.6; 21.0; 25.0; 19.0; 22.6; 18.3 Å³ per atom.
The calculation returns the following formation energy (no corrections) values, one per record and in order: 427; 336; 62; 32; 297; 28 meV/atom.
The calculation returns the following total moment values, one per record and in order: 0.0; 0.0; 0.0; 0.0; 0.0; 0.0 μB per cell.